1.
ScFe2GeC after structural relaxation. Source: Alexandria via LeMat-Bulk, functional PBE.

Structure (POSCAR):
```
ScFe2GeC
1.0
-1.564 -0.343 3.253
-3.896 -0.183 -3.913
0.696 -6.755 -0.378
Fe Sc Ge C
4 2 2 2
direct
0.838 0.676 0.440
0.162 0.324 0.560
0.838 0.676 0.060
0.162 0.324 0.940
0.458 0.916 0.750
0.542 0.084 0.250
0.736 0.473 0.750
0.264 0.527 0.250
0.000 0.000 0.000
0.000 0.000 0.500
```

Values from the calculation:
As for the formation energy: -1.76 eV per formula unit. As for the density: 6.2 g/cm³. For the electronic total energy, the calculation gives -77.7 eV for the cell shown.


2.
Mg2CrGe2 after structural relaxation. Source: Alexandria via LeMat-Bulk, functional PBE.

Structure (POSCAR):
```
Mg2CrGe2
1.0
-0.992 -6.559 0.034
5.243 -0.814 -3.981
2.482 -0.358 3.342
Ge Cr Mg
4 2 4
direct
0.635 0.135 0.000
0.865 0.635 0.000
0.135 0.365 0.000
0.365 0.865 0.000
0.500 0.500 0.000
0.000 0.000 0.000
0.675 0.825 0.500
0.825 0.325 0.500
0.175 0.675 0.500
0.325 0.175 0.500
```

Values from the calculation:
As for the formation energy: -0.22 eV per formula unit. As for the density: 4.4 g/cm³. For the electronic total energy, the calculation gives -44.5 eV for the cell shown.


3.
PmNd3Sm4S8 after structural relaxation. Source: Alexandria via LeMat-Bulk, functional PBE.

Structure (POSCAR):
```
PmNd3Sm4S8
1.0
-0.600 -2.424 -7.673
5.621 -5.642 1.343
-6.581 0.319 4.657
S Pm Nd Sm
8 1 3 4
direct
0.248 0.244 0.496
0.749 0.245 0.996
0.247 0.245 0.996
0.251 0.755 0.004
0.251 0.755 0.502
0.753 0.755 0.004
0.749 0.245 0.498
0.752 0.756 0.504
0.000 0.500 0.000
0.000 0.500 0.500
0.500 0.500 0.500
0.500 0.500 0.000
0.000 0.000 0.000
0.500 0.000 0.000
0.500 0.000 0.500
0.000 0.000 0.500
```

Values from the calculation:
As for the density: 6.4 g/cm³. For the formation energy without anion corrections, the calculation gives -2.022 eV per atom. For the electronic total energy, the calculation gives -103.3 eV for the cell shown.


4.
CeNd2Co after structural relaxation. Source: Alexandria via LeMat-Bulk, functional PBE.

Structure (POSCAR):
```
CeNd2Co
1.0
-0.325 -2.519 2.400
3.084 0.908 1.371
-4.081 5.682 5.412
Nd Ce Co
2 1 1
direct
0.000 0.000 0.192
0.000 0.000 0.808
0.500 0.500 0.500
0.500 0.500 0.000
```

Values from the calculation:
As for the formation energy: 0.42 eV per formula unit. The value obtained for the energy above the most stable polymorph in this dataset is 0.89 eV/f.u. As for the density: 7.5 g/cm³. For the electronic total energy, the calculation gives -22.2 eV for the cell shown.


5.
NdCuSn2 after structural relaxation. Source: Alexandria via LeMat-Bulk, functional PBE.

Structure (POSCAR):
```
NdCuSn2
1.0
4.469 0.000 0.000
0.000 4.469 0.000
0.000 0.000 9.653
Cu Nd Sn
2 2 4
direct
0.500 0.500 0.000
0.000 0.000 0.000
0.500 0.000 0.767
0.000 0.500 0.233
0.000 0.500 0.841
0.000 0.000 0.500
0.500 0.500 0.500
0.500 0.000 0.159
```

Values from the calculation:
As for the formation energy: -1.89 eV per formula unit. As for the density: 7.7 g/cm³. For the electronic total energy, the calculation gives -37.5 eV for the cell shown.


6.
AlMoAu after structural relaxation. Source: Alexandria via LeMat-Bulk, functional PBE.

Structure (POSCAR):
```
AlMoAu
1.0
-3.781 -1.682 1.439
-2.975 -1.467 -2.862
-0.762 -4.300 -0.358
Au Al Mo
1 1 1
direct
0.500 0.500 0.500
0.000 0.000 0.000
0.750 0.750 0.750
```

Values from the calculation:
As for the formation energy: 1.76 eV per formula unit. The value obtained for the energy above the most stable polymorph in this dataset is 1.80 eV/f.u. As for the density: 8.9 g/cm³. For the electronic total energy, the calculation gives -16.1 eV for the cell shown.


7.
ZrPaAg after structural relaxation. Source: Alexandria via LeMat-Bulk, functional PBE.

Structure (POSCAR):
```
ZrPaAg
1.0
-0.465 3.434 -0.391
-3.268 -0.565 -1.079
-3.465 0.686 10.138
Ag Zr Pa
2 2 2
direct
0.000 0.500 0.929
0.500 0.000 0.071
0.000 0.500 0.225
0.500 0.000 0.775
0.500 0.000 0.415
0.000 0.500 0.585
```

Values from the calculation:
As for the formation energy: -0.09 eV per formula unit. The value obtained for the energy above the most stable polymorph in this dataset is 0.00 eV/f.u. As for the density: 10.9 g/cm³. For the electronic total energy, the calculation gives -42.0 eV for the cell shown.


8.
LaRh2W after structural relaxation. Source: Alexandria via LeMat-Bulk, functional PBE.

Structure (POSCAR):
```
LaRh2W
1.0
1.503 4.791 0.003
-1.503 4.791 0.003
0.000 0.598 5.205
Rh W La
2 1 1
direct
0.251 0.251 0.292
0.984 0.984 0.009
0.524 0.524 0.412
0.742 0.742 0.787
```

Values from the calculation:
As for the formation energy: 0.19 eV per formula unit. The value obtained for the energy above the most stable polymorph in this dataset is 0.97 eV/f.u. As for the density: 11.7 g/cm³. For the electronic total energy, the calculation gives -32.4 eV for the cell shown.


Q: Which formula does entry 2 have?
A: Mg2CrGe2


Q: Look up the electronic total energy of the eighth one.
A: -32.4 eV for the cell shown


Q: Among the records above, which one has the lowest electronic total energy?
A: PmNd3Sm4S8